# 1
# Dy2Ge3Pd8

Dy2Ge3Pd8 after structural relaxation (PBE, the Alexandria database).

CIF file:
```
data_Dy2Ge3Pd8
_cell_length_a 12.8905
_cell_length_b 5.5676
_cell_length_c 7.9017
_cell_angle_alpha 90.00
_cell_angle_beta 124.95
_cell_angle_gamma 90.00
_symmetry_space_group_name_H-M 'C 1 2/m 1'
_symmetry_Int_Tables_number 12
loop_
_symmetry_equiv_pos_as_xyz
'x,y,z'
'-x,-y,-z'
'-x,y,-z'
'x,-y,z'
'x+1/2,y+1/2,z'
'-x+1/2,-y+1/2,-z'
'-x+1/2,y+1/2,-z'
'x+1/2,-y+1/2,z'
loop_
_atom_site_label
_atom_site_fract_x
_atom_site_fract_y
_atom_site_fract_z
Dy1 0.1371 0.0000 0.2548
Ge1 0.0000 0.2416 0.5000
Ge2 0.0000 0.5000 0.0000
Pd1 0.1151 0.5000 0.3964
Pd2 0.1204 0.2481 0.9065
Pd3 0.2098 0.0000 0.7014
```

Results
Theoretical density = 10.0 g cm⁻³
Total energy = -5.58 eV/atom


# 2
# DyGe2Pd4

DyGe2Pd4 after structural relaxation (PBE, the Alexandria database).

CIF file:
```
data_DyGe2Pd4
_cell_length_a 17.1833
_cell_length_b 4.2169
_cell_length_c 6.7001
_cell_angle_alpha 90.00
_cell_angle_beta 90.00
_cell_angle_gamma 90.00
_symmetry_space_group_name_H-M 'P n m a'
_symmetry_Int_Tables_number 62
loop_
_symmetry_equiv_pos_as_xyz
'x,y,z'
'-x,-y,-z'
'-x+1/2,-y,z+1/2'
'x+1/2,y,-z+1/2'
'x+1/2,-y+1/2,-z+1/2'
'-x+1/2,y+1/2,z+1/2'
'-x,y+1/2,-z'
'x,-y+1/2,z'
loop_
_atom_site_label
_atom_site_fract_x
_atom_site_fract_y
_atom_site_fract_z
Dy1 0.1398 0.2500 0.0091
Ge1 0.0431 0.7500 0.2636
Ge2 0.2211 0.2500 0.5124
Pd1 0.0261 0.7500 0.8601
Pd2 0.0738 0.2500 0.5068
Pd3 0.1886 0.7500 0.7205
Pd4 0.1900 0.7500 0.3037
```

Results
Theoretical density = 10.0 g cm⁻³
Offset from the most stable computed form = 28.1 meV per atom
Total energy = -5.64 eV/atom